[1]
Below is a relaxed Ce2YSn crystal, with properties calculated at the PBE level.

Computed properties:
formation energy = -0.43 eV/atom

Cell: 4.4606 4.3649 11.5284 Å, 90.00 99.95 90.00°
Closest atoms and distances in Å follow each position.
Space group P2_1/m (No. 11)
Symmetry-distinct sites (fractional):
Ce  0.0026  0.2500  0.1170 [2 per cell]  2 Ce 2.81
Ce  0.3966  0.2500  0.8845 [2 per cell]  2 Ce 2.81
Y  0.3041  0.7500  0.6099 [2 per cell]  5 Sn 3.15-3.21
Sn  0.1765  0.7500  0.3321 [2 per cell]  5 Y 3.15-3.21, 4 Ce 3.25-3.39



[2]
Below is a relaxed ScPt2Au crystal, with properties calculated at the PBE level.

Computed properties:
formation energy = -0.31 eV/atom

Cell: 2.9948 2.9948 26.9912 Å, 90.00 90.00 120.00°
Closest atoms and distances in Å follow each position.
Space group R3m (No. 160, hexagonal axes)
Symmetry-distinct sites (fractional):
Sc  0.0000  0.0000  0.0000 [3 per cell]  3 Pt 2.69, 3 Au 2.84, 6 Sc 2.99
Pt  0.0000  0.0000  0.2569 [3 per cell]  3 Sc 2.69, 9 Pt 2.91-2.99
Pt  0.0000  0.0000  0.5035 [3 per cell]  9 Pt 2.91-2.99, 3 Au 2.91
Au  0.0000  0.0000  0.7500 [3 per cell]  3 Sc 2.84, 3 Pt 2.91, 6 Au 2.99



[3]
Below is a relaxed CdB5Pt7 crystal, with properties calculated at the PBE level.

Computed properties:
formation energy = 0.04 eV/atom

Cell: 4.4290 8.3852 9.2065 Å, 90.00 90.00 90.00°
Closest atoms and distances in Å follow each position.
Space group Imm2 (No. 44)
Symmetry-distinct sites (fractional):
Cd  0.0000  0.0000  0.0000 [2 per cell]  9 Pt 2.75-3.01, 4 B 3.03
B  0.0000  0.5000  0.2077 [2 per cell]  6 Pt 2.14-2.24
B  0.1982  0.2528  0.6912 [8 per cell]  1 B 1.76
Pt  0.0000  0.0000  0.3633 [2 per cell]  5 Pt 2.64-2.85, 4 B 2.93
Pt  0.0000  0.0000  0.6727 [2 per cell]  6 B 2.24-2.30
Pt  0.0000  0.3149  0.3684 [4 per cell]  3 B 2.14-2.18
Pt  0.0000  0.3274  0.0218 [4 per cell]  3 B 2.16-2.24
Pt  0.0000  0.5000  0.6875 [2 per cell]  4 B 2.25



[4]
Below is a relaxed HfGa2Ge crystal, with properties calculated at the PBE level.

Computed properties:
formation energy = -0.31 eV/atom

Cell: 3.8788 3.8788 9.3180 Å, 90.00 90.00 90.00°
Closest atoms and distances in Å follow each position.
Space group I4/mmm (No. 139)
Symmetry-distinct sites (fractional):
Hf  0.0000  0.0000  0.0000 [2 per cell]  4 Ge 2.74, 8 Ga 3.03
Ga  0.0000  0.5000  0.2500 [4 per cell]  4 Ga 2.74, 4 Ge 3.03, 4 Hf 3.03
Ge  0.0000  0.0000  0.5000 [2 per cell]  4 Hf 2.74, 8 Ga 3.03



[5]
Below is a relaxed InBiSe crystal, with properties calculated at the PBE level.

Computed properties:
E_form (uncorrected) = -0.07 eV/atom

Cell: 13.5635 3.8448 7.6014 Å, 90.00 111.29 90.00°
Closest atoms and distances in Å follow each position.
Space group C2/m (No. 12)
Symmetry-distinct sites (fractional):
In  0.0994  0.0000  0.2494 [4 per cell]  2 Se 2.74
Bi  0.1275  0.5000  0.6029 [4 per cell]  2 Se 3.01, 2 In 3.21, 1 Bi 3.24
Se  0.1174  0.0000  0.9012 [4 per cell]  2 In 2.74, 2 Bi 3.01



[6]
Below is a relaxed Tb2PmPr3 crystal, with properties calculated at the PBE level.

Computed properties:
formation energy = 0.02 eV/atom

Cell: 7.3045 10.3356 21.9317 Å, 90.00 90.00 90.00°
Closest atoms and distances in Å follow each position.
Space group Fddd (No. 70, origin choice 2)
Symmetry-distinct sites (fractional):
Tb  0.1250  0.1250  0.2914 [16 per cell]  2 Tb 3.65, 8 Pr 3.65-3.66, 2 Pm 3.66
Pm  0.1250  0.1250  0.6250 [8 per cell]  8 Pr 3.65-3.66, 4 Tb 3.66
Pr  0.1250  0.1250  0.1250 [8 per cell]  6 Tb 3.65-3.66, 4 Pr 3.65, 2 Pm 3.65
Pr  0.1250  0.1250  0.4581 [16 per cell]  4 Pr 3.65-3.66, 3 Pm 3.65-3.66, 5 Tb 3.65-3.66



[7]
Below is a relaxed Sc5BiSe4 crystal, with properties calculated at the PBE level.

Computed properties:
E_form (uncorrected) = -1.38 eV/atom

Cell: 3.9421 5.6113 19.8113 Å, 90.00 90.00 90.00°
Closest atoms and distances in Å follow each position.
Space group Immm (No. 71)
Symmetry-distinct sites (fractional):
Sc  0.0000  0.0000  0.0000 [2 per cell]  4 Se 2.80, 2 Bi 2.81
Sc  0.0000  0.0000  0.1983 [4 per cell]  6 Se 2.75-2.81
Sc  0.0000  0.0000  0.3888 [4 per cell]  4 Se 2.71-2.81, 2 Bi 2.96
Bi  0.0000  0.5000  0.0000 [2 per cell]  6 Sc 2.81-2.96
Se  0.0000  0.5000  0.2052 [4 per cell]  6 Sc 2.71-2.81
Se  0.0000  0.5000  0.3993 [4 per cell]  6 Sc 2.76-2.81



[8]
Below is a relaxed Sr2Pd4Au5 crystal, with properties calculated at the PBE level.

Computed properties:
formation energy = -0.44 eV/atom

Cell: 5.6312 9.5303 17.9834 Å, 90.00 90.00 90.00°
Closest atoms and distances in Å follow each position.
Space group Fmmm (No. 69)
Symmetry-distinct sites (fractional):
Sr  0.0000  0.0000  0.1305 [8 per cell]  6 Pd 3.18-3.23, 4 Au 3.50
Pd  0.0000  0.1663  0.3727 [16 per cell]  5 Au 2.74-2.80
Au  0.0000  0.0000  0.5000 [4 per cell]  4 Au 2.77, 4 Pd 2.78
Au  0.2500  0.2500  0.0000 [8 per cell]  4 Au 2.77-2.82, 4 Pd 2.80
Au  0.2500  0.2500  0.2500 [8 per cell]  4 Pd 2.74, 2 Au 2.82



| no. | magnetic moment (μB/f.u.) |
| --- | --- |
| 1 | 0.00 |
| 2 | 0.00 |
| 3 | 0.00 |
| 4 | 0.00 |
| 5 | 0.00 |
| 6 | 0.00 |
| 7 | 0.00 |
| 8 | 0.00 |